! PBE-GGA Li2MgMn, relaxed; values from VASP
! Space group   No. 119
! Total energy   -0.1255 Ha/atom
! Formation enthalpy at 0 K   0.2342 eV per atom
! N(E_F)   2.2 states/eV/cell
! V   72.2 Å³/cell
&SYSTEM
  ibrav = 0, nat = 4, ntyp = 3
/
ATOMIC_SPECIES
Li 6.94 Li.upf
Mn 54.94 Mn.upf
Mg 24.30 Mg.upf
CELL_PARAMETERS angstrom
4.972 -0.165 0.000
1.463 4.755 0.000
-3.217 -2.295 3.022
ATOMIC_POSITIONS angstrom
Li 0.731 2.378 1.511
Li 0.000 0.000 0.000
Mn 2.486 -0.083 1.511
Mg 3.217 2.295 0.000

***

! PBE-GGA LiMg2Mn, relaxed; values from VASP
! Space group   No. 122
! Total energy   -0.1152 Ha/atom
! Formation enthalpy at 0 K   0.4334 eV per atom
! N(E_F)   6.9 states/eV/cell
! V   158.4 Å³/cell
&SYSTEM
  ibrav = 0, nat = 8, ntyp = 3
/
ATOMIC_SPECIES
Li 6.94 Li.upf
Mn 54.94 Mn.upf
Mg 24.30 Mg.upf
CELL_PARAMETERS angstrom
-1.956 5.360 4.680
-1.570 -5.059 5.137
0.972 0.294 5.887
ATOMIC_POSITIONS angstrom
Li -1.180 -2.307 7.966
Mn -1.373 2.902 7.738
Li -1.763 0.150 4.909
Mg -2.343 0.525 12.964
Mn 0.000 0.000 0.000
Mg -0.999 -2.375 5.306
Mg -1.160 2.747 5.001
Mg -0.606 0.292 8.138